Compound: TbP2W
Source: Alexandria
Functional: PBE-GGA
Structure: relaxed

Properties
As for the magnetic moment: 0.692 μB per formula unit. The energy above the most stable polymorph in this dataset comes out at 0.000 eV per atom. As for the formation energy: -0.672 eV per atom.

a b c (Å): 6.297 6.297 6.297
angles (deg): 35.10 35.10 35.10
Atoms (fractional coordinates):
1 Tb 0.000 0.000 0.000
2 P 0.237 0.237 0.237
3 P 0.763 0.763 0.763
4 W 0.500 0.500 0.500